[1]
## BaCdPt2 (PBE)

Data for an optimized crystal structure of BaCdPt2.

Calculated values
* DOS at the Fermi energy: 1.8 states/eV/f.u.
* formation enthalpy at 0 K: -0.558 eV per atom
* total energy: -4.288 eV per atom
* space group: C2/m, No. 12

Lattice parameters (Å, degrees): 4.7424 4.7424 6.1090 67.33 67.33 59.95
Closest atoms and distances in Å follow each position.
Positions (direct):
Cd  0.2500  0.2500  0.2500  6 Pt 2.76
Pt  0.5598  0.5598  0.3204  3 Cd 2.76, 3 Pt 2.84-2.85
Pt  0.9402  0.9402  0.1796  3 Cd 2.76, 3 Pt 2.84-2.85
Ba  0.7500  0.7500  0.7500  2 Pt 3.12


[2]
## PdRu2N (PBE)

Data for an optimized crystal structure of PdRu2N.

Calculated values
* DOS at the Fermi energy: 5.9 states/eV/f.u.
* total energy: -7.632 eV per atom
* space group: I-42d, No. 122
* formation energy (no corrections): 1.54 eV/f.u.

Lattice parameters (Å, degrees): 6.2224 6.2224 5.2051 53.29 53.29 90.00
Closest atoms and distances in Å follow each position.
Positions (direct):
Ru  0.8750  0.7705  0.7500  2 N 1.93
Ru  0.2295  0.6250  0.2500  2 N 1.93
Ru  0.3750  0.4795  0.7500  2 N 1.93
Ru  0.5205  0.1250  0.2500  2 N 1.93
N  0.5000  0.5000  0.0000  4 Ru 1.93
N  0.2500  0.7500  0.5000  4 Ru 1.93
Pd  0.0000  0.0000  0.0000  8 Ru 2.76-2.79, 2 N 2.78
Pd  0.7500  0.2500  0.5000  8 Ru 2.76-2.79, 2 N 2.78


[3]
## Ge2HPd (PBE)

Data for an optimized crystal structure of Ge2HPd.

Calculated values
* DOS at the Fermi energy: 1.8 states/eV/f.u.
* energy above the most stable polymorph in this dataset: 141 meV/atom
* total energy: -4.225 eV per atom
* space group: Fm-3m, No. 225

Lattice parameters (Å, degrees): 4.3143 4.3143 4.3143 60.00 60.00 60.00
Closest atoms and distances in Å follow each position.
Positions (direct):
Ge  0.7500  0.7500  0.7500  4 H 2.64, 4 Pd 2.64
Ge  0.2500  0.2500  0.2500  4 H 2.64, 4 Pd 2.64
Pd  0.5000  0.5000  0.5000  8 Ge 2.64
H  0.0000  0.0000  0.0000  8 Ge 2.64